## InSiTeAuS2 (PBE)

Data for a geometry-optimized InSiTeAuS2 structure.

Lattice parameters (Å, degrees): 8.0686 8.0686 10.6720 90.00 90.00 155.98
Closest atoms and distances in Å follow each position.
Atoms (fractional coordinates):
Au  0.6348  0.3652  0.2500  2 S 2.43
Au  0.3652  0.6348  0.7500  2 S 2.43
In  0.2847  0.7153  0.2500  2 Au 2.90, 2 Te 3.19
In  0.7153  0.2847  0.7500  2 Au 2.90, 2 Te 3.19
S  0.6050  0.3950  0.0263  2 Si 2.38, 1 Au 2.43
S  0.6050  0.3950  0.4737  2 Si 2.38, 1 Au 2.43
S  0.3950  0.6050  0.5263  2 Si 2.38, 1 Au 2.43
S  0.3950  0.6050  0.9737  2 Si 2.38, 1 Au 2.43
Si  0.0000  0.0000  0.0000  4 S 2.38
Si  0.0000  0.0000  0.5000  4 S 2.38
Te  0.9568  0.0432  0.2500  2 Si 2.75
Te  0.0432  0.9568  0.7500  2 Si 2.75

Results
Density ... 6.24 g/cm³
E_tot ... -47.3 eV/cell

## InSnAu3S4 (PBE)

Data for a geometry-optimized InSnAu3S4 structure.

Lattice parameters (Å, degrees): 6.0542 6.0542 6.0542 90.00 90.00 90.00
Closest atoms and distances in Å follow each position.
Atoms (fractional coordinates):
Au  0.5000  0.5000  0.0000  4 S 2.66
Au  0.5000  0.0000  0.5000  4 S 2.66
Au  0.0000  0.5000  0.5000  4 S 2.66
In  0.0000  0.0000  0.0000  4 S 2.50
S  0.2386  0.2386  0.2386  1 In 2.50, 3 Au 2.66, 1 Sn 2.74
S  0.7614  0.7614  0.2386  1 In 2.50, 3 Au 2.66, 1 Sn 2.74
S  0.7614  0.2386  0.7614  1 In 2.50, 3 Au 2.66, 1 Sn 2.74
S  0.2386  0.7614  0.7614  1 In 2.50, 3 Au 2.66, 1 Sn 2.74
Sn  0.5000  0.5000  0.5000  4 S 2.74, 6 Au 3.03

Results
ΔE to the lowest computed polymorph ... 56.9 meV per atom
Density ... 7.13 g/cm³

## InSnAu3S4 (PBE)

Data for a geometry-optimized InSnAu3S4 structure.

Lattice parameters (Å, degrees): 6.2294 7.4781 10.3245 90.00 102.20 90.00
Closest atoms and distances in Å follow each position.
Atoms (fractional coordinates):
Au  0.3738  0.5563  0.1014  2 S 2.35-2.41
Au  0.3738  0.9437  0.1014  2 S 2.35-2.41
Au  0.5276  0.7500  0.3753  1 S 2.38
Au  0.4724  0.2500  0.6247  1 S 2.38
Au  0.6262  0.0563  0.8986  2 S 2.35-2.41
Au  0.6262  0.4437  0.8986  2 S 2.35-2.41
In  0.1276  0.2500  0.3901  1 Au 2.88, 1 S 2.89
In  0.8724  0.7500  0.6099  1 Au 2.88, 1 S 2.89
S  0.0686  0.7500  0.0153  2 Au 2.41, 1 Sn 2.49
S  0.7027  0.0135  0.2520  1 Au 2.35, 1 Sn 2.46
S  0.7027  0.4865  0.2520  1 Au 2.35, 1 Sn 2.46
S  0.1793  0.7500  0.4350  1 Au 2.38, 1 Sn 2.42
S  0.8207  0.2500  0.5650  1 Au 2.38, 1 Sn 2.42
S  0.2973  0.5135  0.7480  1 Au 2.35, 1 Sn 2.46
S  0.2973  0.9865  0.7480  1 Au 2.35, 1 Sn 2.46
S  0.9314  0.2500  0.9847  2 Au 2.41, 1 Sn 2.49
Sn  0.9251  0.7500  0.2226  4 S 2.42-2.49
Sn  0.0749  0.2500  0.7774  4 S 2.42-2.49

Results
ΔE to the lowest computed polymorph ... 0.0 meV per atom
Density ... 6.73 g/cm³

## InSnTe2AuS (PBE)

Data for a geometry-optimized InSnTe2AuS structure.

Lattice parameters (Å, degrees): 7.2291 7.2291 11.2779 90.00 90.00 147.22
Closest atoms and distances in Å follow each position.
Atoms (fractional coordinates):
Au  0.9723  0.0277  0.2500  2 S 2.59, 2 Te 2.79
Au  0.0277  0.9723  0.7500  2 S 2.59, 2 Te 2.79
In  0.2312  0.7688  0.2500  2 S 2.85
In  0.7688  0.2312  0.7500  2 S 2.85
S  0.5876  0.4124  0.2500  2 Au 2.59, 2 In 2.85
S  0.4124  0.5876  0.7500  2 Au 2.59, 2 In 2.85
Sn  0.5000  0.5000  0.0000  2 S 3.07, 4 Te 3.13
Sn  0.5000  0.5000  0.5000  2 S 3.07, 4 Te 3.13
Te  0.8379  0.1621  0.0662  1 Au 2.79
Te  0.8379  0.1621  0.4338  1 Au 2.79
Te  0.1621  0.8379  0.5662  1 Au 2.79
Te  0.1621  0.8379  0.9338  1 Au 2.79

Results
Density ... 7.47 g/cm³
E_tot ... -41.9 eV/cell

## SrInAuS3 (PBE)

Data for a geometry-optimized SrInAuS3 structure.

Lattice parameters (Å, degrees): 7.3615 7.3615 10.3416 90.00 90.00 147.93
Closest atoms and distances in Å follow each position.
Atoms (fractional coordinates):
Au  0.8726  0.1274  0.2500  2 S 2.32
Au  0.1274  0.8726  0.7500  2 S 2.32
In  0.5000  0.5000  0.0000  6 S 2.70-2.71
In  0.5000  0.5000  0.5000  6 S 2.70-2.71
S  0.8745  0.1255  0.0261  1 Au 2.32
S  0.5540  0.4460  0.2500  2 In 2.70, 2 Sr 2.89
S  0.8745  0.1255  0.4739  1 Au 2.32
S  0.1255  0.8745  0.5261  1 Au 2.32
S  0.4460  0.5540  0.7500  2 In 2.70, 2 Sr 2.89
S  0.1255  0.8745  0.9739  1 Au 2.32
Sr  0.1992  0.8008  0.2500  4 S 2.89-3.04, 2 Au 3.19
Sr  0.8008  0.1992  0.7500  4 S 2.89-3.04, 2 Au 3.19

Results
Density ... 5.53 g/cm³
E_tot ... -50.5 eV/cell

## TaInAuS3 (PBE)

Data for a geometry-optimized TaInAuS3 structure.

Lattice parameters (Å, degrees): 8.2660 8.2660 9.5558 90.00 90.00 24.00
Closest atoms and distances in Å follow each position.
Atoms (fractional coordinates):
Au  0.6965  0.6965  0.2500  2 S 2.50, 2 In 2.74
Au  0.3035  0.3035  0.7500  2 S 2.50, 2 In 2.74
In  0.3288  0.3288  0.2500  2 Au 2.74, 4 S 2.76-2.91
In  0.6712  0.6712  0.7500  2 Au 2.74, 4 S 2.76-2.91
S  0.6079  0.6079  0.0356  2 Ta 2.47, 1 Au 2.50
S  0.9624  0.9624  0.2500  2 Ta 2.47, 2 In 2.76
S  0.6079  0.6079  0.4644  2 Ta 2.47, 1 Au 2.50
S  0.3921  0.3921  0.5356  2 Ta 2.47, 1 Au 2.50
S  0.0376  0.0376  0.7500  2 Ta 2.47, 2 In 2.76
S  0.3921  0.3921  0.9644  2 Ta 2.47, 1 Au 2.50
Ta  0.0000  0.0000  0.0000  6 S 2.47
Ta  0.0000  0.0000  0.5000  6 S 2.47

Results
Magnetic moment ... 0.0 Bohr magnetons per cell
Density ... 7.36 g/cm³
E_tot ... -67.2 eV/cell

## InTcTeAuS2 (PBE)

Data for a geometry-optimized InTcTeAuS2 structure.

Lattice parameters (Å, degrees): 7.9490 7.9490 10.2818 90.00 90.00 155.66
Closest atoms and distances in Å follow each position.
Atoms (fractional coordinates):
Au  0.8476  0.1524  0.2500  2 S 2.44
Au  0.1524  0.8476  0.7500  2 S 2.44
In  0.2029  0.7971  0.2500  2 Au 2.80, 2 Te 3.05, 2 S 3.10
In  0.7971  0.2029  0.7500  2 Au 2.80, 2 Te 3.05, 2 S 3.10
S  0.8863  0.1137  0.0201  1 Au 2.44, 2 Tc 2.44
S  0.8863  0.1137  0.4799  1 Au 2.44, 2 Tc 2.44
S  0.1137  0.8863  0.5201  1 Au 2.44, 2 Tc 2.44
S  0.1137  0.8863  0.9799  1 Au 2.44, 2 Tc 2.44
Tc  0.5000  0.5000  0.0000  4 S 2.44, 2 Te 2.64
Tc  0.5000  0.5000  0.5000  4 S 2.44, 2 Te 2.64
Te  0.5390  0.4610  0.2500  2 Tc 2.64
Te  0.4610  0.5390  0.7500  2 Tc 2.64

Results
Magnetic moment ... 0.0 Bohr magnetons per cell
Density ... 7.46 g/cm³
E_tot ... -57.2 eV/cell

## InTcTe2AuS (PBE)

Data for a geometry-optimized InTcTe2AuS structure.

Lattice parameters (Å, degrees): 7.5886 7.5886 9.8699 90.00 90.00 149.87
Closest atoms and distances in Å follow each position.
Atoms (fractional coordinates):
Au  0.4771  0.5229  0.2500  2 S 2.45, 2 Te 2.69
Au  0.5229  0.4771  0.7500  2 S 2.45, 2 Te 2.69
In  0.7424  0.2576  0.2500  2 S 3.14, 6 Te 3.22-3.40
In  0.2576  0.7424  0.7500  2 S 3.14, 6 Te 3.22-3.40
S  0.0760  0.9240  0.2500  2 Au 2.45, 2 Tc 2.71
S  0.9240  0.0760  0.7500  2 Au 2.45, 2 Tc 2.71
Tc  0.0000  0.0000  0.0000  2 S 2.71, 4 Te 2.82
Tc  0.0000  0.0000  0.5000  2 S 2.71, 4 Te 2.82
Te  0.3641  0.6359  0.0351  1 Au 2.69, 2 Tc 2.82
Te  0.3641  0.6359  0.4649  1 Au 2.69, 2 Tc 2.82
Te  0.6359  0.3641  0.5351  1 Au 2.69, 2 Tc 2.82
Te  0.6359  0.3641  0.9649  1 Au 2.69, 2 Tc 2.82

Results
Magnetic moment ... 3.6 Bohr magnetons per cell
Density ... 8.11 g/cm³
E_tot ... -52.3 eV/cell

> What is the density in the fourth record?

7.47 g/cm³

> What is the density in the first record?

6.24 g/cm³